[1]
# YRh

An optimized crystal structure of YRh (PBE-GGA, Alexandria via LeMat-Bulk).

Uncorrected energy in eV/atom: -7.09
M_tot in μB per formula unit: 0.00
Crystal system: trigonal

The structure in CIF format:
```
data_YRh
_cell_length_a 3.7551
_cell_length_b 3.7551
_cell_length_c 7.9510
_cell_angle_alpha 90.00
_cell_angle_beta 90.00
_cell_angle_gamma 120.00
_space_group_name_H-M_alt 'P -3 m 1'
_space_group_IT_number 164
_space_group_name_Hall '-P 3 2"'
loop_
_atom_site_label
_atom_site_type_symbol
_atom_site_fract_x
_atom_site_fract_y
_atom_site_fract_z
Y1 Y 0.3333 0.6667 0.3047
Rh1 Rh 0.3333 0.6667 0.9014
```

[2]
# YRh

An optimized crystal structure of YRh (PBE-GGA, Alexandria via LeMat-Bulk).

Uncorrected energy in eV/atom: -7.39
M_tot in μB per formula unit: 0.00
Crystal system: hexagonal

The structure in CIF format:
```
data_YRh
_cell_length_a 3.7813
_cell_length_b 3.7813
_cell_length_c 7.2939
_cell_angle_alpha 90.00
_cell_angle_beta 90.00
_cell_angle_gamma 120.00
_space_group_name_H-M_alt 'P 63/m m c'
_space_group_IT_number 194
_space_group_name_Hall '-P 6c 2c'
loop_
_atom_site_label
_atom_site_type_symbol
_atom_site_fract_x
_atom_site_fract_y
_atom_site_fract_z
Y1 Y 0.0000 0.0000 0.0000
Rh1 Rh 0.3333 0.6667 0.2500
```

[3]
# Y3Rh5

An optimized crystal structure of Y3Rh5 (PBE-GGA, Alexandria via LeMat-Bulk).

Uncorrected energy in eV/atom: -7.52
M_tot in μB per formula unit: 0.00
Crystal system: triclinic

The structure in CIF format:
```
data_Y3Rh5
_cell_length_a 6.066
_cell_length_b 7.274
_cell_length_c 7.961
_cell_angle_alpha 81.82
_cell_angle_beta 67.96
_cell_angle_gamma 73.15
_space_group_name_H-M_alt 'P -1'
_space_group_IT_number 2
loop_
_space_group_symop_operation_xyz
'x,y,z'
'-x,-y,-z'
loop_
_atom_site_label
_atom_site_type_symbol
_atom_site_fract_x
_atom_site_fract_y
_atom_site_fract_z
Y1 Y 0.164 0.002 0.166
Y2 Y 0.178 0.283 0.506
Y3 Y 0.217 0.509 0.069
Rh1 Rh 0.179 0.620 0.690
Rh2 Rh 0.273 0.212 0.838
Rh3 Rh 0.342 0.902 0.480
Rh4 Rh 0.379 0.600 0.318
Rh5 Rh 0.392 0.828 0.813
```

[4]
# YRh

An optimized crystal structure of YRh (PBE-GGA, Alexandria via LeMat-Bulk).

Uncorrected energy in eV/atom: -7.52
M_tot in μB per formula unit: 0.00
Crystal system: orthorhombic

The structure in CIF format:
```
data_YRh
_cell_length_a 4.563
_cell_length_b 10.012
_cell_length_c 5.617
_cell_angle_alpha 90.00
_cell_angle_beta 90.00
_cell_angle_gamma 90.00
_space_group_name_H-M_alt 'I m m 2'
_space_group_IT_number 44
loop_
_space_group_symop_operation_xyz
'x,y,z'
'-x,-y,z'
'-x,y,z'
'x,-y,z'
'x+1/2,y+1/2,z+1/2'
'-x+1/2,-y+1/2,z+1/2'
'-x+1/2,y+1/2,z+1/2'
'x+1/2,-y+1/2,z+1/2'
loop_
_atom_site_label
_atom_site_type_symbol
_atom_site_fract_x
_atom_site_fract_y
_atom_site_fract_z
Y1 Y 0.000 0.000 0.000
Y2 Y 0.000 0.324 0.156
Rh1 Rh 0.000 0.000 0.506
Rh2 Rh 0.000 0.357 0.660
```

[5]
# Y4Rh

An optimized crystal structure of Y4Rh (PBE-GGA, Alexandria via LeMat-Bulk).

Uncorrected energy in eV/atom: -6.25
M_tot in μB per formula unit: 0.00
Crystal system: tetragonal
Energy above the lowest structure with this stoichiometry in eV per formula unit: 3.72

The structure in CIF format:
```
data_Y4Rh
_cell_length_a 3.972
_cell_length_b 3.972
_cell_length_c 18.655
_cell_angle_alpha 90.00
_cell_angle_beta 90.00
_cell_angle_gamma 90.00
_space_group_name_H-M_alt 'I 4/m m m'
_space_group_IT_number 139
_space_group_name_Hall '-I 4 2'
loop_
_atom_site_label
_atom_site_type_symbol
_atom_site_fract_x
_atom_site_fract_y
_atom_site_fract_z
Y1 Y 0.000 0.000 0.082
Y2 Y 0.000 0.500 0.250
Rh1 Rh 0.000 0.000 0.500
```

[6]
# Y4Rh

An optimized crystal structure of Y4Rh (PBE-GGA, Alexandria via LeMat-Bulk).

Uncorrected energy in eV/atom: -6.98
M_tot in μB per formula unit: 0.00
Crystal system: tetragonal
Energy above the lowest structure with this stoichiometry in eV per formula unit: 0.05

The structure in CIF format:
```
data_Y4Rh
_cell_length_a 8.794
_cell_length_b 8.794
_cell_length_c 3.594
_cell_angle_alpha 90.00
_cell_angle_beta 90.00
_cell_angle_gamma 90.00
_space_group_name_H-M_alt 'I 4/m'
_space_group_IT_number 87
_space_group_name_Hall '-I 4'
loop_
_atom_site_label
_atom_site_type_symbol
_atom_site_fract_x
_atom_site_fract_y
_atom_site_fract_z
Y1 Y 0.076 0.259 0.000
Rh1 Rh 0.000 0.000 0.500
```

[7]
# Y5Rh3

An optimized crystal structure of Y5Rh3 (PBE-GGA, Alexandria via LeMat-Bulk).

Uncorrected energy in eV/atom: -7.45
M_tot in μB per formula unit: 0.00
Crystal system: tetragonal
Energy above the lowest structure with this stoichiometry in eV per formula unit: 0.52

The structure in CIF format:
```
data_Y5Rh3
_cell_length_a 11.072
_cell_length_b 11.072
_cell_length_c 6.141
_cell_angle_alpha 90.00
_cell_angle_beta 90.00
_cell_angle_gamma 90.00
_space_group_name_H-M_alt 'I 4/m c m'
_space_group_IT_number 140
_space_group_name_Hall '-I 4 2c'
loop_
_atom_site_label
_atom_site_type_symbol
_atom_site_fract_x
_atom_site_fract_y
_atom_site_fract_z
Y1 Y 0.000 0.500 0.250
Y2 Y 0.082 0.209 0.000
Rh1 Rh 0.000 0.000 0.250
Rh2 Rh 0.157 0.343 0.500
```

[8]
# YRh3

An optimized crystal structure of YRh3 (PBE-GGA, Alexandria via LeMat-Bulk).

Uncorrected energy in eV/atom: -7.70
M_tot in μB per formula unit: 0.00
Crystal system: hexagonal

The structure in CIF format:
```
data_YRh3
_cell_length_a 5.2618
_cell_length_b 5.2618
_cell_length_c 17.5465
_cell_angle_alpha 90.00
_cell_angle_beta 90.00
_cell_angle_gamma 120.00
_space_group_name_H-M_alt 'P 63/m m c'
_space_group_IT_number 194
_space_group_name_Hall '-P 6c 2c'
loop_
_atom_site_label
_atom_site_type_symbol
_atom_site_fract_x
_atom_site_fract_y
_atom_site_fract_z
Y1 Y 0.3333 0.6667 0.0418
Y2 Y 0.3333 0.6667 0.2500
Rh1 Rh 0.0000 0.0000 0.0000
Rh2 Rh 0.0000 0.0000 0.2500
Rh3 Rh 0.1672 0.3344 0.6259
Rh4 Rh 0.3333 0.6667 0.7500
```

The records above give, respectively, formation enthalpy at 0 K values of -0.18, -0.48, -0.51, -0.62, 0.39, -0.34, -0.66, -0.57 eV per atom.